Version A
Crystalline ZrBIO2 at its relaxed geometry. Source: Alexandria, functional PBE.

abc: 4.074 4.074 6.225
angles: 90.00 90.00 90.00
Space group P4/mmm (No. 123)
Unique sites:
Zr: 0.000 0.000 0.000
B: 0.500 0.500 0.500
I: 0.000 0.000 0.500
O: 0.000 0.500 0.000

Summary:
Magnetic moment in μB per atom: 0.000
Fermi-level density of states in states/eV per atom: 0.231
Theoretical density in g cm⁻³: 4.2


Version B
Crystalline ZrBIO2 at its relaxed geometry. Source: Alexandria, functional PBE.

abc: 3.968 3.968 4.418
angles: 90.00 90.00 90.00
Space group P4/mmm (No. 123)
Unique sites:
Zr: 0.000 0.000 0.000
B: 0.500 0.500 0.500
I: 0.500 0.500 0.000
O: 0.000 0.500 0.500

Summary:
Magnetic moment in μB per atom: 0.000
Fermi-level density of states in states/eV per atom: 0.417
Theoretical density in g cm⁻³: 6.2


version A is preferred energetically. Next in line: 929 meV per atom higher.


Version A
Crystalline BSbOsI2 at its relaxed geometry. Source: Alexandria, functional PBE.

abc: 5.592 5.592 4.992
angles: 90.00 90.00 90.00
Space group P4/mmm (No. 123)
Unique sites:
B: 0.000 0.000 0.000
Sb: 0.500 0.500 0.000
Os: 0.500 0.500 0.500
I: 0.000 0.500 0.500

Summary:
Magnetic moment in μB per atom: 0.000
Fermi-level density of states in states/eV per atom: 0.868
Theoretical density in g cm⁻³: 6.1


Version B
Crystalline BSbOsI2 at its relaxed geometry. Source: Alexandria, functional PBE.

abc: 4.778 4.778 4.716
angles: 90.00 90.00 90.00
Space group P4/mmm (No. 123)
Unique sites:
B: 0.000 0.000 0.000
Sb: 0.000 0.000 0.500
Os: 0.500 0.500 0.500
I: 0.000 0.500 0.000

Summary:
Magnetic moment in μB per atom: 0.099
Fermi-level density of states in states/eV per atom: 0.901
Theoretical density in g cm⁻³: 8.9


version A is preferred energetically. Next in line: 197 meV per atom higher.


Version A
Crystalline BSb2OsI at its relaxed geometry. Source: Alexandria, functional PBE.

abc: 5.032 5.032 5.903
angles: 90.00 90.00 90.00
Space group P4/mmm (No. 123)
Unique sites:
B: 0.000 0.000 0.000
Sb: 0.000 0.500 0.500
Os: 0.500 0.500 0.500
I: 0.500 0.500 0.000

Summary:
Magnetic moment in μB per atom: 0.027
Fermi-level density of states in states/eV per atom: 0.630
Theoretical density in g cm⁻³: 6.3


Version B
Crystalline BSb2OsI at its relaxed geometry. Source: Alexandria, functional PBE.

abc: 4.623 4.623 4.779
angles: 90.00 90.00 90.00
Space group P4/mmm (No. 123)
Unique sites:
B: 0.000 0.000 0.000
Sb: 0.000 0.500 0.000
Os: 0.500 0.500 0.500
I: 0.000 0.000 0.500

Summary:
Magnetic moment in μB per atom: 0.000
Fermi-level density of states in states/eV per atom: 0.584
Theoretical density in g cm⁻³: 9.3


version A is preferred energetically. Next in line: 15 meV per atom higher.


Version A
Crystalline BTe2OsI at its relaxed geometry. Source: Alexandria, functional PBE.

abc: 4.700 4.700 4.711
angles: 90.00 90.00 90.00
Space group P4/mmm (No. 123)
Unique sites:
B: 0.000 0.000 0.000
Te: 0.000 0.500 0.000
Os: 0.500 0.500 0.500
I: 0.000 0.000 0.500

Summary:
Magnetic moment in μB per atom: 0.000
Fermi-level density of states in states/eV per atom: 0.676
Theoretical density in g cm⁻³: 9.3


Version B
Crystalline BTe2OsI at its relaxed geometry. Source: Alexandria, functional PBE.

abc: 5.139 5.139 5.760
angles: 90.00 90.00 90.00
Space group P4/mmm (No. 123)
Unique sites:
B: 0.000 0.000 0.000
Te: 0.000 0.500 0.500
Os: 0.500 0.500 0.500
I: 0.500 0.500 0.000

Summary:
Magnetic moment in μB per atom: 0.038
Fermi-level density of states in states/eV per atom: 1.425
Theoretical density in g cm⁻³: 6.4


version B is preferred energetically. Next in line: 45 meV per atom higher.


Version A
Crystalline B3PI at its relaxed geometry. Source: Alexandria, functional PBE.

abc: 4.398 4.398 4.398
angles: 90.00 90.00 90.00
Space group Pm-3m (No. 221)
Unique sites:
B: 0.000 0.000 0.500
P: 0.500 0.500 0.500
I: 0.000 0.000 0.000

Summary:
Magnetic moment in μB per atom: 0.000
Fermi-level density of states in states/eV per atom: 0.513
Theoretical density in g cm⁻³: 3.7


Version B
Crystalline B3PI at its relaxed geometry. Source: Alexandria, functional PBE.

abc: 4.078 4.078 4.078
angles: 90.00 90.00 90.00
Space group Pm-3m (No. 221)
Unique sites:
B: 0.000 0.000 0.500
P: 0.000 0.000 0.000
I: 0.500 0.500 0.500

Summary:
Magnetic moment in μB per atom: 0.000
Fermi-level density of states in states/eV per atom: 0.600
Theoretical density in g cm⁻³: 4.7


version B is preferred energetically. Next in line: 1197 meV per atom higher.


Version A
Crystalline BPPdI at its relaxed geometry. Source: Alexandria, functional PBE.

abc: 4.004 3.209 7.098
angles: 90.00 106.08 90.00
Space group Pm (No. 6)
Unique sites:
B: 0.000 0.000 0.000
P: 0.078 0.500 0.156
Pd: 0.587 0.000 0.175
I: 0.840 0.000 0.677

Summary:
Magnetic moment in μB per atom: 0.000
Fermi-level density of states in states/eV per atom: 0.536
Theoretical density in g cm⁻³: 5.2


Version B
Crystalline BPPdI at its relaxed geometry. Source: Alexandria, functional PBE.

abc: 4.310 3.169 6.950
angles: 90.00 92.50 90.00
Space group Pm (No. 6)
Unique sites:
B: 0.000 0.000 0.000
P: 0.787 0.500 0.055
Pd: 0.285 0.500 0.879
I: 0.420 0.000 0.546

Summary:
Magnetic moment in μB per atom: 0.000
Fermi-level density of states in states/eV per atom: 0.335
Theoretical density in g cm⁻³: 4.8


version A is preferred energetically. Next in line: 80 meV per atom higher.


Version A
Crystalline BPPdI at its relaxed geometry. Source: Alexandria, functional PBE.

abc: 3.255 4.605 6.892
angles: 101.64 90.01 110.56
Space group P1 (No. 1)
Unique sites:
B: 0.000 0.000 0.000
P: 0.536 0.073 0.136
Pd: 0.605 0.209 0.476
I: 0.917 0.832 0.666

Summary:
Magnetic moment in μB per atom: 0.000
Fermi-level density of states in states/eV per atom: 0.878
Theoretical density in g cm⁻³: 4.8


Version B
Crystalline BPPdI at its relaxed geometry. Source: Alexandria, functional PBE.

abc: 8.137 3.163 6.985
angles: 90.00 91.80 90.00
Space group Cm (No. 8)
Unique sites:
B: 0.000 0.000 0.000
P: 0.435 0.000 0.839
Pd: 0.217 0.500 0.919
I: 0.012 0.000 0.323

Summary:
Magnetic moment in μB per atom: 0.000
Fermi-level density of states in states/eV per atom: 0.486
Theoretical density in g cm⁻³: 5.1


version B is preferred energetically. Next in line: 218 meV per atom higher.


Version A
Crystalline BPPdI at its relaxed geometry. Source: Alexandria, functional PBE.

abc: 3.175 4.347 7.374
angles: 85.96 77.88 68.76
Space group P1 (No. 1)
Unique sites:
B: 0.000 0.000 0.000
P: 0.639 0.875 0.844
Pd: 0.319 0.439 0.921
I: 0.841 0.013 0.312

Summary:
Magnetic moment in μB per atom: 0.000
Fermi-level density of states in states/eV per atom: 0.215
Theoretical density in g cm⁻³: 4.9


Version B
Crystalline BPPdI at its relaxed geometry. Source: Alexandria, functional PBE.

abc: 3.774 4.225 7.574
angles: 90.69 103.84 116.53
Space group P1 (No. 1)
Unique sites:
B: 0.000 0.000 0.000
P: 0.997 0.201 0.786
Pd: 0.343 0.828 0.853
I: 0.115 0.963 0.281

Summary:
Magnetic moment in μB per atom: 0.000
Fermi-level density of states in states/eV per atom: 0.163
Theoretical density in g cm⁻³: 4.4


Version C
Crystalline BPPdI at its relaxed geometry. Source: Alexandria, functional PBE.

abc: 3.310 4.191 6.568
angles: 98.59 100.61 109.62
Space group P1 (No. 1)
Unique sites:
B: 0.000 0.000 0.000
P: 0.370 0.797 0.883
Pd: 0.140 0.206 0.723
I: 0.264 0.366 0.325

Summary:
Magnetic moment in μB per atom: 0.000
Fermi-level density of states in states/eV per atom: 0.279
Theoretical density in g cm⁻³: 5.6


Version D
Crystalline BPPdI at its relaxed geometry. Source: Alexandria, functional PBE.

abc: 3.262 3.317 9.023
angles: 91.63 93.26 119.44
Space group P1 (No. 1)
Unique sites:
B: 0.000 0.000 0.000
P: 0.330 0.659 0.002
Pd: 0.080 0.229 0.770
I: 0.001 0.162 0.470

Summary:
Magnetic moment in μB per atom: 0.000
Fermi-level density of states in states/eV per atom: 0.375
Theoretical density in g cm⁻³: 5.4


version D is preferred energetically. Next in line: 65 meV per atom higher.